# NaLa5Hg3, relaxed, DFT PBE
data_NaLa5Hg3
_cell_length_a 9.6422
_cell_length_b 9.6422
_cell_length_c 7.0058
_cell_angle_alpha 90.00
_cell_angle_beta 90.00
_cell_angle_gamma 120.00
_space_group_name_H-M_alt 'P 63/m c m'
_space_group_IT_number 193
_space_group_name_Hall '-P 6c 2'
loop_
_atom_site_label
_atom_site_fract_x
_atom_site_fract_y
_atom_site_fract_z
Na1 0.0000 0.0000 0.0000
La1 0.0000 0.3204 0.2500
La2 0.3333 0.6667 0.0000
Hg1 0.0000 0.3451 0.7500
# ΔH_f (0 K), eV per atom: -0.26
# Electronic total energy, eV per cell: -58.41

---

# CeGa9Pt2, relaxed, DFT PBE
data_CeGa9Pt2
_cell_length_a 11.4099
_cell_length_b 11.4099
_cell_length_c 6.6929
_cell_angle_alpha 90.00
_cell_angle_beta 90.00
_cell_angle_gamma 90.00
_space_group_name_H-M_alt 'I 41/a m d'
_space_group_IT_number 141
loop_
_space_group_symop_operation_xyz
'x,y,z'
'-x,-y,-z'
'-y+1/4,x+3/4,z+1/4'
'y+1/4,-x+3/4,-z+1/4'
'-x+1/2,-y,z+1/2'
'x+1/2,y,-z+1/2'
'y+1/4,-x+1/4,z+3/4'
'-y+1/4,x+1/4,-z+3/4'
'x,-y,-z'
'-x,y,z'
'-y+1/4,-x+1/4,-z+3/4'
'y+1/4,x+1/4,z+3/4'
'-x+1/2,y,-z+1/2'
'x+1/2,-y,z+1/2'
'y+1/4,x+3/4,-z+1/4'
'-y+1/4,-x+3/4,z+1/4'
'x+1/2,y+1/2,z+1/2'
'-x+1/2,-y+1/2,-z+1/2'
'-y+3/4,x+1/4,z+3/4'
'y+3/4,-x+1/4,-z+3/4'
'-x,-y+1/2,z'
'x,y+1/2,-z'
'y+3/4,-x+3/4,z+1/4'
'-y+3/4,x+3/4,-z+1/4'
'x+1/2,-y+1/2,-z+1/2'
'-x+1/2,y+1/2,z+1/2'
'-y+3/4,-x+3/4,-z+1/4'
'y+3/4,x+3/4,z+1/4'
'-x,y+1/2,-z'
'x,-y+1/2,z'
'y+3/4,x+1/4,-z+3/4'
'-y+3/4,-x+1/4,z+3/4'
loop_
_atom_site_label
_atom_site_fract_x
_atom_site_fract_y
_atom_site_fract_z
Ce1 0.0000 0.2500 0.3750
Ga1 0.0000 0.2500 0.8750
Ga2 0.1182 0.0625 0.6669
Pt1 0.0000 0.0000 0.0000
# ΔH_f (0 K), eV per atom: -0.35
# Electronic total energy, eV per cell: -198.01

---

# Sr2Br, relaxed, DFT PBE
data_Sr2Br
_cell_length_a 6.2111
_cell_length_b 6.2111
_cell_length_c 8.0632
_cell_angle_alpha 90.00
_cell_angle_beta 90.00
_cell_angle_gamma 120.00
_space_group_name_H-M_alt 'P 63/m m c'
_space_group_IT_number 194
_space_group_name_Hall '-P 6c 2c'
loop_
_atom_site_label
_atom_site_fract_x
_atom_site_fract_y
_atom_site_fract_z
Sr1 0.0000 0.0000 0.0000
Sr2 0.3333 0.6667 0.2500
Br1 0.3333 0.6667 0.7500
# ΔE_f (raw), eV/atom: -0.495
# Electronic total energy, eV per cell: -13.04

---

# PmNd7Sm4, relaxed, DFT PBE
data_PmNd7Sm4
_cell_length_a 6.3950
_cell_length_b 7.3684
_cell_length_c 9.1291
_cell_angle_alpha 89.99
_cell_angle_beta 76.45
_cell_angle_gamma 90.00
_space_group_name_H-M_alt 'P -1'
_space_group_IT_number 2
_space_group_name_Hall '-P 1'
loop_
_atom_site_label
_atom_site_fract_x
_atom_site_fract_y
_atom_site_fract_z
Pm1 0.0000 0.0000 0.0000
Nd1 0.0000 0.5000 0.0000
Nd2 0.2212 0.0001 0.3329
Nd3 0.2796 0.2507 0.6668
Nd4 0.5000 0.2509 0.0004
Sm1 0.2202 0.5000 0.3329
Sm2 0.2789 0.7490 0.6678
# ΔH_f (0 K), eV per atom: 0.01
# Electronic total energy, eV per cell: -56.87

---

# La4CuN2, relaxed, DFT PBE
data_La4CuN2
_cell_length_a 3.7993
_cell_length_b 12.5443
_cell_length_c 13.3684
_cell_angle_alpha 90.00
_cell_angle_beta 90.00
_cell_angle_gamma 90.00
_space_group_name_H-M_alt 'C m c m'
_space_group_IT_number 63
_space_group_name_Hall '-C 2c 2'
loop_
_atom_site_label
_atom_site_fract_x
_atom_site_fract_y
_atom_site_fract_z
La1 0.0000 0.0000 0.0000
La2 0.0000 0.2686 0.1082
La3 0.0000 0.4297 0.7500
Cu1 0.0000 0.1049 0.7500
N1 0.0000 0.3592 0.5563
# ΔE_f (raw), eV/atom: -0.756
# Electronic total energy, eV per cell: -183.00

---

# CaCdRe2, relaxed, DFT PBE
data_CaCdRe2
_cell_length_a 3.2496
_cell_length_b 4.6495
_cell_length_c 9.8708
_cell_angle_alpha 90.00
_cell_angle_beta 90.00
_cell_angle_gamma 90.00
_space_group_name_H-M_alt 'C m m 2'
_space_group_IT_number 35
_space_group_name_Hall 'C 2 -2'
loop_
_atom_site_label
_atom_site_fract_x
_atom_site_fract_y
_atom_site_fract_z
Ca1 0.0000 0.0000 0.0000
Cd1 0.0000 0.5000 0.7139
Re1 0.0000 0.0000 0.4594
Re2 0.0000 0.5000 0.2548
# ΔH_f (0 K), eV per atom: 0.56
# Electronic total energy, eV per cell: -51.14

---

# Li3SbAs, relaxed, DFT PBE
data_Li3SbAs
_cell_length_a 4.7529
_cell_length_b 4.7529
_cell_length_c 4.7529
_cell_angle_alpha 90.00
_cell_angle_beta 90.00
_cell_angle_gamma 90.00
_space_group_name_H-M_alt 'P m -3 m'
_space_group_IT_number 221
_space_group_name_Hall '-P 4 2 3'
loop_
_atom_site_label
_atom_site_fract_x
_atom_site_fract_y
_atom_site_fract_z
Li1 0.0000 0.0000 0.5000
Sb1 0.5000 0.5000 0.5000
As1 0.0000 0.0000 0.0000
# ΔE_f (raw), eV/atom: -0.193
# Electronic total energy, eV per cell: -15.48

---

# Mg3GeAs, relaxed, DFT PBE
data_Mg3GeAs
_cell_length_a 4.9690
_cell_length_b 4.9690
_cell_length_c 4.9690
_cell_angle_alpha 90.00
_cell_angle_beta 90.00
_cell_angle_gamma 90.00
_space_group_name_H-M_alt 'P m -3 m'
_space_group_IT_number 221
_space_group_name_Hall '-P 4 2 3'
loop_
_atom_site_label
_atom_site_fract_x
_atom_site_fract_y
_atom_site_fract_z
Mg1 0.0000 0.0000 0.5000
Ge1 0.5000 0.5000 0.5000
As1 0.0000 0.0000 0.0000
# ΔH_f (0 K), eV per atom: 0.06
# Electronic total energy, eV per cell: -13.73

---

Number 1: Fermi-level density of states 26.590 states/eV/cell. Number 2: Fermi-level density of states 38.066 states/eV/cell. Number 3: Fermi-level density of states 6.902 states/eV/cell. Number 4: Fermi-level density of states 17.861 states/eV/cell. Number 5: Fermi-level density of states 29.926 states/eV/cell. Number 6: Fermi-level density of states 7.235 states/eV/cell. Number 7: Fermi-level density of states 4.083 states/eV/cell. Number 8: Fermi-level density of states 4.950 states/eV/cell.